Computed, not measured: a relaxed structure of Tb2YTh3Te6 at the PBE-GGA level of DFT.

Unit cell a=19.9221 b=4.2698 c=9.1637 alpha=90.00 beta=110.54 gamma=90.00
Last column: nearest neighbours and their distance in Å.
Space group C2/m (No. 12)
Asymmetric unit:
Tb1 0.1669 0.0000 0.3328 (multiplicity 4)  6 Te 3.07-3.08
Y1 0.0000 0.5000 0.0000 (multiplicity 2)  6 Te 3.07
Th1 0.0000 0.5000 0.5000 (multiplicity 2)  6 Te 3.20
Th2 0.1668 0.0000 0.8327 (multiplicity 4)  6 Te 3.19-3.20
Te1 0.0028 0.0000 0.2426 (multiplicity 4)  2 Y 3.07, 1 Tb 3.08, 3 Th 3.20
Te2 0.1635 0.5000 0.0893 (multiplicity 4)  1 Y 3.07, 2 Tb 3.07, 3 Th 3.19-3.20
Te3 0.1694 0.5000 0.5757 (multiplicity 4)  3 Tb 3.07, 3 Th 3.19-3.20

Computed, not measured: a relaxed structure of Tb2TiTe at the PBE-GGA level of DFT.

Unit cell a=3.6903 b=3.6903 c=30.5777 alpha=90.00 beta=90.00 gamma=120.00
Last column: nearest neighbours and their distance in Å.
Space group R-3m (No. 166, hexagonal axes)
Asymmetric unit:
Tb1 0.0000 0.0000 0.0961 (multiplicity 6)  1 Ti 2.94, 3 Te 3.03
Ti1 0.0000 0.0000 0.0000 (multiplicity 3)  2 Tb 2.94
Te1 0.0000 0.0000 0.5000 (multiplicity 3)  6 Tb 3.03

Computed, not measured: a relaxed structure of Tb2TiTe4 at the PBE-GGA level of DFT.

Unit cell a=15.4879 b=4.2376 c=7.5549 alpha=90.00 beta=118.95 gamma=90.00
Last column: nearest neighbours and their distance in Å.
Space group C2/m (No. 12)
Asymmetric unit:
Tb1 0.2430 0.0000 0.2291 (multiplicity 4)  6 Te 3.05-3.15
Ti1 0.0000 0.5000 0.5000 (multiplicity 2)  6 Te 2.85-2.92
Te1 0.1094 0.5000 0.9313 (multiplicity 4)  1 Ti 2.85, 3 Tb 3.05-3.06
Te2 0.1181 0.0000 0.4573 (multiplicity 4)  2 Ti 2.92, 3 Tb 3.13-3.15

M_tot for the records above, in order: 0.000 1.756 1.577 μB per formula unit
DOS at the Fermi energy for the records above, in order: 9.834 4.143 4.763 states/eV/f.u.
Uncorrected formation energy for the records above, in order: -13.8 0.4 -7.9 eV per formula unit